(1)
Here is a relaxed structure of Na5Tl3Pd2 from Alexandria via LeMat-Bulk. Energies are from PBE.

Unit cell a=6.8667 b=8.5033 c=10.9163 alpha=67.33 beta=80.90 gamma=66.58
Positions (direct):
Na: 0.1033 0.1650 0.2528
Na: 0.2505 0.4978 0.0019
Na: 0.2509 0.2424 0.5122
Na: 0.2506 0.7619 0.4764
Na: 0.3944 0.5825 0.2529
Na: 0.6056 0.4175 0.7471
Na: 0.7494 0.2381 0.5236
Na: 0.7491 0.7576 0.4878
Na: 0.7495 0.5022 0.9981
Na: 0.8967 0.8350 0.7472
Tl: 0.1058 0.4292 0.7424
Tl: 0.2504 0.9887 0.0211
Tl: 0.3964 0.8265 0.7440
Tl: 0.6036 0.1735 0.2560
Tl: 0.7496 0.0113 0.9789
Tl: 0.8942 0.5708 0.2576
Pd: 0.0326 0.1118 0.7791
Pd: 0.4688 0.1092 0.7791
Pd: 0.5312 0.8908 0.2209
Pd: 0.9674 0.8882 0.2209


(2)
Here is a relaxed structure of Ta2Ti4Nb5 from Alexandria via LeMat-Bulk. Energies are from PBE.

Unit cell a=2.8592 b=7.1516 c=9.7273 alpha=91.83 beta=95.52 gamma=98.08
Positions (direct):
Ta: 0.1936 0.0457 0.1380
Ta: 0.8064 0.9543 0.8620
Ti: 0.2918 0.8663 0.5936
Ti: 0.3943 0.6843 0.0439
Ti: 0.6057 0.3157 0.9561
Ti: 0.7082 0.1337 0.4064
Nb: 0.0482 0.4089 0.2260
Nb: 0.1352 0.2294 0.6812
Nb: 0.5000 0.5000 0.5000
Nb: 0.8648 0.7706 0.3188
Nb: 0.9518 0.5911 0.7740


Computed values of ΔH_f (0 K) (unit: kJ/mol of formula units) for the preceding records, in sequence: -107 18.